4
Lattice="0.000 3.610 3.610 3.610 0.000 3.610 3.610 3.610 0.000" Properties=species:S:1:pos:R:3 comment="TbDyBeHg, optimized geometry, DFT PBE" dos_at_fermi_per_ev_cell=4.324 e_form_ev_per_atom=-0.116 magnetic_moment_mub_per_cell=0.0 final_energy_ev_per_atom=-3.431 density_g_cm3=9.37 pbc="T T T"
Tb 0.000 0.000 0.000
Dy 3.610 3.610 3.610
Be 5.415 5.415 5.415
Hg 1.805 1.805 1.805